(1)
{
  "formula": "AlSi2Ni2",
  "functional": "GGA-PBE",
  "state": "relaxed",
  "lattice_angstrom": [[-2.476, 1.070, -0.071], [-2.211, -5.097, 0.307], [-0.021, 0.563, 9.204]],
  "species": ["Al", "Al", "Si", "Si", "Si", "Si", "Ni", "Ni", "Ni", "Ni"],
  "fractional_positions": [[0.000, 0.000, 0.000], [0.000, 0.500, 0.500], [0.000, 0.045, 0.376], [0.000, 0.955, 0.624], [0.000, 0.545, 0.124], [0.000, 0.455, 0.876], [0.500, 0.858, 0.206], [0.500, 0.142, 0.794], [0.500, 0.358, 0.294], [0.500, 0.642, 0.706]],
  "sg": "Pbam (55)",
  "e_form_raw_mev_per_atom": -351.7,
  "crystal_system": "orthorhombic",
  "magnetic_moment_mub_per_fu": 0.0,
  "dft_energy_ev_per_atom": -5.582
}



(2)
{
  "formula": "La3SmH8",
  "functional": "GGA-PBE",
  "state": "relaxed",
  "lattice_angstrom": [[-3.809, 1.649, -3.706], [-2.514, -4.950, 0.381], [-3.184, 1.935, 4.133]],
  "species": ["La", "La", "La", "Sm", "H", "H", "H", "H", "H", "H", "H", "H"],
  "fractional_positions": [[0.500, 0.500, 0.000], [0.500, 0.000, 0.500], [0.000, 0.500, 0.500], [0.000, 0.000, 0.000], [0.243, 0.243, 0.757], [0.243, 0.757, 0.243], [0.757, 0.243, 0.243], [0.757, 0.757, 0.757], [0.757, 0.757, 0.243], [0.757, 0.243, 0.757], [0.243, 0.757, 0.757], [0.243, 0.243, 0.243]],
  "sg": "Pm-3m (221)",
  "crystal_system": "cubic",
  "magnetic_moment_mub_per_fu": 0.0,
  "dft_energy_ev_per_atom": -4.521
}



(3)
{
  "formula": "BeCoSnRh",
  "functional": "GGA-PBE",
  "state": "relaxed",
  "lattice_angstrom": [[4.227, 0.000, 0.000], [2.114, 3.661, 0.000], [2.114, 1.220, 3.452]],
  "species": ["Co", "Rh", "Sn", "Be"],
  "fractional_positions": [[0.000, 0.000, 0.000], [0.500, 0.500, 0.500], [0.750, 0.750, 0.750], [0.250, 0.250, 0.250]],
  "sg": "F-43m (216)",
  "delta_e_f_mev_per_atom": -209,
  "crystal_system": "cubic",
  "magnetic_moment_mub_per_fu": 0.0,
  "dft_energy_ev_per_atom": -5.755
}



(4)
{
  "formula": "LaZnIr",
  "functional": "GGA-PBE",
  "state": "relaxed",
  "lattice_angstrom": [[-2.928, -0.864, -0.300], [1.924, -0.252, -2.376], [1.766, -6.731, 2.146]],
  "species": ["Ir", "La", "Zn"],
  "fractional_positions": [[0.000, 0.000, 0.974], [0.667, 0.333, 0.320], [0.333, 0.667, 0.706]],
  "sg": "P3m1 (156)",
  "delta_e_f_mev_per_atom": 116,
  "crystal_system": "trigonal",
  "magnetic_moment_mub_per_fu": 0.0,
  "dft_energy_ev_per_atom": -4.905
}



(5)
{
  "formula": "LiGa3Ni2",
  "functional": "GGA-PBE",
  "state": "relaxed",
  "lattice_angstrom": [[5.054, 0.000, 0.000], [0.000, 5.889, 0.704], [0.000, -1.279, 5.792]],
  "species": ["Li", "Li", "Ga", "Ga", "Ga", "Ga", "Ga", "Ga", "Ni", "Ni", "Ni", "Ni"],
  "fractional_positions": [[0.250, 0.423, 0.423], [0.750, 0.577, 0.577], [0.750, 0.433, 0.093], [0.750, 0.093, 0.433], [0.250, 0.567, 0.907], [0.750, 0.933, 0.933], [0.250, 0.067, 0.067], [0.250, 0.907, 0.567], [0.500, 0.773, 0.227], [0.000, 0.773, 0.227], [0.000, 0.227, 0.773], [0.500, 0.227, 0.773]],
  "sg": "Cmcm (63)",
  "delta_e_f_mev_per_atom": -328,
  "crystal_system": "orthorhombic",
  "magnetic_moment_mub_per_fu": 0.0,
  "dft_energy_ev_per_atom": -4.088
}



(6)
{
  "formula": "Pm2Nd4DyTm2",
  "functional": "GGA-PBE",
  "state": "relaxed",
  "lattice_angstrom": [[5.125, 0.000, 0.000], [-2.563, 7.692, 0.028], [0.000, -2.595, 7.627]],
  "species": ["Pm", "Pm", "Nd", "Nd", "Nd", "Nd", "Dy", "Tm", "Tm"],
  "fractional_positions": [[0.888, 0.777, 0.330], [0.112, 0.223, 0.670], [0.778, 0.556, 0.670], [0.222, 0.444, 0.330], [0.555, 0.109, 0.330], [0.445, 0.891, 0.670], [0.000, 0.000, 0.000], [0.333, 0.666, 0.000], [0.667, 0.334, 0.000]],
  "sg": "C2/m (12)",
  "delta_e_f_mev_per_atom": 23,
  "crystal_system": "monoclinic",
  "magnetic_moment_mub_per_fu": 0.0,
  "dft_energy_ev_per_atom": -4.657
}



(7)
{
  "formula": "NaMgMn2Cl8",
  "functional": "GGA-PBE",
  "state": "relaxed",
  "lattice_angstrom": [[-3.580, -2.918, -4.703], [6.579, 0.028, -0.406], [0.299, -7.359, 4.337]],
  "species": ["Na", "Mg", "Mn", "Mn", "Cl", "Cl", "Cl", "Cl", "Cl", "Cl", "Cl", "Cl"],
  "fractional_positions": [[0.000, 0.000, 0.000], [0.000, 0.000, 0.500], [0.667, 0.333, 0.266], [0.333, 0.667, 0.734], [0.333, 0.667, 0.992], [0.308, 0.303, 0.323], [0.697, 0.005, 0.323], [0.667, 0.333, 0.008], [0.303, 0.995, 0.677], [0.692, 0.697, 0.677], [0.005, 0.308, 0.677], [0.995, 0.692, 0.323]],
  "sg": "P-3 (147)",
  "e_form_raw_mev_per_atom": -1246.2,
  "crystal_system": "trigonal",
  "magnetic_moment_mub_per_fu": 9.0,
  "dft_energy_ev_per_atom": -4.248
}



(8)
{
  "formula": "Cs2PaTeI5",
  "functional": "GGA-PBE",
  "state": "relaxed",
  "lattice_angstrom": [[-6.468, -5.622, -0.959], [6.991, -0.386, -5.034], [5.215, -0.371, 6.858]],
  "species": ["Cs", "Cs", "Pa", "Te", "I", "I", "I", "I", "I"],
  "fractional_positions": [[0.500, 0.251, 0.751], [0.500, 0.751, 0.251], [0.000, 0.990, 0.990], [0.000, 0.762, 0.762], [0.499, 0.252, 0.252], [0.501, 0.752, 0.752], [0.000, 0.752, 0.252], [0.000, 0.252, 0.752], [0.000, 0.238, 0.238]],
  "sg": "I4mm (107)",
  "e_form_raw_mev_per_atom": -1196.3,
  "crystal_system": "tetragonal",
  "magnetic_moment_mub_per_fu": 0.0,
  "dft_energy_ev_per_atom": -3.651
}